Record 1
LiZnGaSb | GGA-PBE | optimized geometry

Unit cell a=6.8660 b=6.8660 c=6.8660 alpha=90.00 beta=90.00 gamma=90.00
With the nearest neighbours (Å) after each atom.
Space group F-43m (No. 216)
Asymmetric unit:
Li  0.0000  0.0000  0.0000 x4  4 Ga 2.97, 4 Sb 2.97
Zn  0.0000  0.0000  0.5000 x4  4 Sb 2.97, 4 Ga 2.97
Ga  0.2500  0.2500  0.7500 x4  4 Li 2.97, 4 Zn 2.97
Sb  0.2500  0.2500  0.2500 x4  4 Li 2.97, 4 Zn 2.97

V (Å³ per cell): 323.68
Uncorrected formation energy (eV/atom): -0.07

=====

Record 2
Nd5YAl3 | GGA-PBE | optimized geometry

Unit cell a=9.3008 b=9.3008 c=6.8488 alpha=90.00 beta=90.00 gamma=120.00
With the nearest neighbours (Å) after each atom.
Space group P6_3/mcm (No. 193)
Asymmetric unit:
Nd  0.0000  0.3376  0.2500 x6  5 Al 3.08-3.43
Nd  0.3333  0.6667  0.0000 x4  8 Nd 3.42-3.52, 6 Al 3.58
Y  0.0000  0.0000  0.0000 x2  2 Y 3.42, 6 Al 3.47, 6 Nd 3.58
Al  0.0000  0.3246  0.7500 x6  5 Nd 3.08-3.43

V (Å³ per cell): 513.12
Energy of formation from the pure elements (eV/atom): -0.24

=====

Record 3
TmPdAu3 | GGA-PBE | optimized geometry

Unit cell a=4.9490 b=5.6350 c=7.2706 alpha=90.00 beta=109.83 gamma=90.00
With the nearest neighbours (Å) after each atom.
Space group P2_1/m (No. 11)
Asymmetric unit:
Tm  0.1047  0.2500  0.2089 x2  3 Pd 2.83-3.11, 8 Au 2.93-3.13
Pd  0.1232  0.7500  0.2466 x2  3 Tm 2.83-3.11, 8 Au 2.90-3.00
Au  0.3084  0.5008  0.6169 x4  6 Au 2.81-3.11, 3 Pd 2.90-3.00, 3 Tm 3.08-3.13
Au  0.4900  0.2500  0.9775 x2  6 Au 2.83-3.11, 2 Pd 2.90-2.92, 2 Tm 2.93-2.94

V (Å³ per cell): 190.74
Energy of formation from the pure elements (eV/atom): -0.55

=====

Record 4
BaErZn2Ge2 | GGA-PBE | optimized geometry

Unit cell a=4.3032 b=4.3032 c=8.8924 alpha=90.00 beta=90.00 gamma=120.00
With the nearest neighbours (Å) after each atom.
Space group P-3m1 (No. 164)
Asymmetric unit:
Ba  0.0000  0.0000  0.0000 x1  6 Ge 3.56, 6 Zn 3.60
Er  0.0000  0.0000  0.5000 x1  6 Zn 3.09, 6 Ge 3.13
Zn  0.3333  0.6667  0.7063 x2  3 Ge 2.49
Ge  0.3333  0.6667  0.2861 x2  3 Zn 2.49

V (Å³ per cell): 142.60
Energy of formation from the pure elements (eV/atom): -0.54

=====

Record 5
Fe4Ru | GGA-PBE | optimized geometry

Unit cell a=4.4910 b=4.4910 c=4.4910 alpha=90.00 beta=90.00 gamma=90.00
With the nearest neighbours (Å) after each atom.
Space group Pm-3m (No. 221)
Asymmetric unit:
Fe  0.0000  0.0000  0.0000 x1  12 Fe 3.18
Fe  0.0000  0.5000  0.5000 x3  2 Ru 2.25
Ru  0.5000  0.5000  0.5000 x1  6 Fe 2.25

V (Å³ per cell): 90.58
Energy of formation from the pure elements (eV/atom): 1.67

=====

Record 6
NiI | GGA-PBE | optimized geometry

Unit cell a=11.4763 b=4.1939 c=5.5649 alpha=90.00 beta=90.00 gamma=90.00
With the nearest neighbours (Å) after each atom.
Space group Pmn2_1 (No. 31)
Asymmetric unit:
Ni  0.0000  0.1430  0.0000 x2  4 I 2.49-2.56, 2 Ni 2.58
Ni  0.1856  0.3045  0.2307 x4  5 I 2.57-2.88, 1 Ni 2.58
I  0.0000  0.6470  0.2445 x2  4 Ni 2.49-2.57
I  0.1764  0.1940  0.7211 x4  4 Ni 2.56-2.77

V (Å³ per cell): 267.85
Uncorrected formation energy (eV/atom): 0.16

=====

Record 7
CuSi2Rh | GGA-PBE | optimized geometry

Unit cell a=6.0005 b=6.0005 c=6.0005 alpha=90.00 beta=90.00 gamma=90.00
With the nearest neighbours (Å) after each atom.
Space group F-43m (No. 216)
Asymmetric unit:
Cu  0.0000  0.0000  0.0000 x4  4 Si 2.60, 4 Rh 2.60
Si  0.0000  0.0000  0.5000 x4  4 Rh 2.60, 4 Si 2.60
Si  0.2500  0.2500  0.7500 x4  4 Cu 2.60, 4 Si 2.60
Rh  0.2500  0.2500  0.2500 x4  4 Cu 2.60, 4 Si 2.60

V (Å³ per cell): 216.05
Uncorrected formation energy (eV/atom): 0.06

=====

Record 8
TaBrCl2 | GGA-PBE | optimized geometry

Unit cell a=6.8017 b=6.8017 c=6.8017 alpha=90.00 beta=90.00 gamma=90.00
With the nearest neighbours (Å) after each atom.
Space group Fm-3m (No. 225)
Asymmetric unit:
Ta  0.0000  0.0000  0.0000 x4  8 Cl 2.95
Br  0.0000  0.0000  0.5000 x4  8 Cl 2.95
Cl  0.2500  0.2500  0.2500 x8  4 Br 2.95, 4 Ta 2.95

V (Å³ per cell): 314.67
Uncorrected formation energy (eV/atom): 0.40